The following is a PBE calculation of Pr2Cd4AgAu after structural relaxation, from OQMD.

```
Pr2Cd4AgAu
1.0
8.054 0.000 0.000
0.000 4.599 0.000
0.000 0.000 10.433
Pr Cd Ag Au
4 8 2 2
Cartesian
0.000 0.000 0.000
0.000 2.299 5.216
4.027 0.000 1.467
4.027 2.299 6.683
1.558 0.000 7.356
1.558 2.299 2.139
2.452 0.000 4.527
2.452 2.299 9.744
5.602 0.000 4.527
5.602 2.299 9.744
6.496 0.000 7.356
6.496 2.299 2.139
0.000 0.000 3.059
0.000 2.299 8.275
4.027 0.000 8.818
4.027 2.299 3.601
```

Properties
For the volume, the calculation gives 193.2 Å³/f.u. Its space group is Amm2, No. 38.

The following is a PBE calculation of PrSm2Cd3AgAu2 after structural relaxation, from OQMD.

```
PrSm2Cd3AgAu2
1.0
3.987 0.000 0.000
0.000 6.902 3.973
0.000 -6.902 3.973
Pr Sm Cd Ag Au
1 2 3 1 2
Cartesian
0.000 0.000 0.000
0.000 -2.830 4.884
0.000 2.830 4.884
1.994 -1.782 2.244
1.994 1.782 2.244
1.994 0.000 5.285
0.000 0.000 3.265
1.994 -4.572 3.245
1.994 4.572 3.245
```

Properties
For the volume, the calculation gives 218.7 Å³/f.u. Its space group is Amm2, No. 38.

The following is a PBE calculation of TbPr2Cd3AgAu2 after structural relaxation, from OQMD.

```
TbPr2Cd3AgAu2
1.0
3.949 0.000 0.000
0.000 6.910 4.000
0.000 -6.910 4.000
Tb Pr Cd Ag Au
1 2 3 1 2
Cartesian
0.000 0.000 0.000
0.000 -2.819 4.906
0.000 2.819 4.906
1.975 -1.768 2.222
1.975 1.768 2.222
1.975 0.000 5.353
0.000 0.000 3.253
1.975 -4.665 3.291
1.975 4.665 3.291
```

Properties
For the volume, the calculation gives 218.3 Å³/f.u. Its space group is Amm2, No. 38.

The following is a PBE calculation of Pr2YCd3AgAu2 after structural relaxation, from OQMD.

```
Pr2YCd3AgAu2
1.0
3.947 0.000 0.000
0.000 6.903 4.004
0.000 -6.903 4.004
Pr Y Cd Ag Au
2 1 3 1 2
Cartesian
0.000 -4.094 4.004
0.000 4.094 4.004
0.000 0.000 3.109
1.974 0.000 0.470
1.974 -1.768 5.322
1.974 1.768 5.322
0.000 0.000 6.358
1.974 -2.250 2.392
1.974 2.250 2.392
```

Properties
For the volume, the calculation gives 218.2 Å³/f.u. Its space group is Amm2, No. 38.

The following is a PBE calculation of Sc2CdAg4Au after structural relaxation, from OQMD.

```
Sc2CdAg4Au
1.0
4.897 0.000 0.000
0.000 6.103 0.000
0.000 0.000 5.077
Sc Cd Ag Au
2 1 4 1
Cartesian
0.000 0.000 0.000
2.449 3.051 1.613
0.000 3.051 4.896
0.000 1.523 2.443
0.000 4.580 2.443
2.449 1.496 4.123
2.449 4.606 4.123
2.449 0.000 1.569
```

Properties
For the volume, the calculation gives 151.7 Å³/f.u. Its space group is Pmm2, No. 25.

The following is a PBE calculation of ScCdAgAu after structural relaxation, from OQMD.

```
ScCdAgAu
1.0
4.816 0.000 0.000
0.000 4.821 0.000
0.000 0.000 6.659
Sc Cd Ag Au
2 2 2 2
Cartesian
0.000 1.130 0.000
2.408 3.691 3.330
0.000 1.128 3.330
2.408 3.692 0.000
0.000 3.529 1.665
2.408 1.292 4.995
0.000 3.538 4.995
2.408 1.283 1.665
```

Properties
For the volume, the calculation gives 77.3 Å³/f.u. Its space group is Pmn2_1, No. 31.

The following is a PBE calculation of Sc2Cd3AgAu2 after structural relaxation, from OQMD.

```
Sc2Cd3AgAu2
1.0
4.803 0.000 0.000
0.000 4.803 0.000
0.000 0.000 6.791
Sc Cd Ag Au
2 3 1 2
Cartesian
0.000 2.401 1.651
2.401 0.000 5.140
0.000 2.401 5.128
2.401 0.000 1.663
2.401 2.401 3.396
0.000 0.000 0.000
0.000 0.000 3.396
2.401 2.401 0.000
```

Properties
For the volume, the calculation gives 156.6 Å³/f.u. Its space group is P-4m2, No. 115.

The following is a PBE calculation of Sc3CdAg2Au2 after structural relaxation, from OQMD.

```
Sc3CdAg2Au2
1.0
4.825 0.000 0.000
0.000 4.809 0.000
-0.020 0.000 6.812
Sc Cd Ag Au
3 1 2 2
Cartesian
0.000 0.000 0.000
0.008 0.000 3.407
2.412 2.404 0.003
2.394 2.404 3.408
-0.013 2.404 5.097
2.415 0.000 1.718
0.000 2.404 1.561
2.397 0.000 5.255
```

Properties
For the volume, the calculation gives 158.0 Å³/f.u. Its space group is Pm, No. 6.

The following is a PBE calculation of ScCd2Ag4Au after structural relaxation, from OQMD.

```
ScCd2Ag4Au
1.0
4.878 0.000 0.000
0.000 6.295 0.000
0.000 0.000 4.986
Sc Cd Ag Au
1 2 4 1
Cartesian
0.000 0.000 0.000
0.000 3.148 0.079
2.439 0.000 2.056
0.000 1.601 2.568
0.000 4.695 2.568
2.439 1.591 4.509
2.439 4.704 4.509
2.439 3.148 2.014
```

Properties
For the volume, the calculation gives 153.1 Å³/f.u. Its space group is Pmm2, No. 25.

The following is a PBE calculation of ScCdAgAu after structural relaxation, from OQMD.

```
ScCdAgAu
1.0
4.868 0.000 0.000
0.000 4.860 0.000
-0.010 0.000 6.660
Sc Cd Ag Au
2 2 2 2
Cartesian
1.182 1.215 6.659
3.676 3.645 0.001
1.161 1.215 3.330
3.697 3.645 3.330
1.267 3.645 4.954
3.591 1.215 1.706
1.256 3.645 1.464
3.602 1.215 5.196
```

Properties
For the volume, the calculation gives 78.8 Å³/f.u. Its space group is P2_1/m, No. 11.

The following is a PBE calculation of Sc2Cd3Ag2Au after structural relaxation, from OQMD.

```
Sc2Cd3Ag2Au
1.0
4.791 0.000 0.000
0.000 4.791 0.000
0.000 0.000 6.863
Sc Cd Ag Au
2 3 2 1
Cartesian
0.000 2.395 1.604
2.395 0.000 5.259
0.000 2.395 5.140
2.395 0.000 1.723
2.395 2.395 3.432
0.000 0.000 3.432
2.395 2.395 0.000
0.000 0.000 0.000
```

Properties
For the volume, the calculation gives 157.5 Å³/f.u. Its space group is P-4m2, No. 115.

The following is a PBE calculation of ScCdAgAu after structural relaxation, from OQMD.

```
ScCdAgAu
1.0
4.756 0.000 0.000
0.000 6.962 0.000
0.000 0.000 4.747
Sc Cd Ag Au
2 2 2 2
Cartesian
0.000 1.740 0.000
0.000 5.222 0.000
2.378 1.741 2.266
2.378 5.221 2.266
0.000 0.000 2.408
2.378 3.481 4.625
0.000 3.481 2.408
2.378 0.000 4.635
```

Properties
For the volume, the calculation gives 78.6 Å³/f.u. Its space group is Pmm2, No. 25.

| no. | energy of formation (kJ/mol of atoms) | total magnetization (μB/f.u.) |
| --- | --- | --- |
| 1 | -39.1 | 0.002 |
| 2 | -55.5 | 0.021 |
| 3 | -55.0 | 0.001 |
| 4 | -55.1 | 0.000 |
| 5 | -31.0 | 0.005 |
| 6 | -42.9 | 0.002 |
| 7 | -41.5 | 0.002 |
| 8 | -47.5 | 0.007 |
| 9 | -12.4 | 0.017 |
| 10 | -40.9 | 0.001 |
| 11 | -33.2 | 0.000 |
| 12 | -31.1 | 0.010 |